Entry 1:
First-principles (PBE) data for Tb6Pm2HoMg after structural relaxation, as listed in Alexandria.

**ΔE_f**: 102 meV per atom
**Mass density**: 7.45 Mg/m³

Cell: 11.019 11.019 6.623 Å, 94.02 94.02 126.52°
Element x y z (fractional)
Tb (0.084, 0.562, 0.278)
Tb (0.088, 0.795, 0.972)
Tb (0.205, 0.912, 0.528)
Tb (0.298, 0.469, 0.018)
Tb (0.438, 0.916, 0.222)
Tb (0.469, 0.298, 0.518)
Tb (0.531, 0.702, 0.482)
Tb (0.562, 0.084, 0.778)
Tb (0.702, 0.531, 0.982)
Tb (0.795, 0.088, 0.472)
Tb (0.912, 0.205, 0.028)
Tb (0.916, 0.438, 0.722)
Pm (0.183, 0.348, 0.504)
Pm (0.348, 0.183, 0.004)
Pm (0.652, 0.817, 0.996)
Pm (0.817, 0.652, 0.496)
Ho (0.007, 0.993, 0.250)
Ho (0.993, 0.007, 0.750)
Mg (0.294, 0.706, 0.750)
Mg (0.706, 0.294, 0.250)



Entry 2:
First-principles (PBE) data for TbPmHoMg after structural relaxation, as listed in Alexandria.

**ΔE_f**: -29 meV per atom
**Distance to the lowest polymorph of the same formula**: 0 meV/atom
**Mass density**: 6.79 Mg/m³

Cell: 3.634 3.634 9.137 Å, 90.00 90.00 90.00°
Element x y z (fractional)
Tb (0.000, 0.000, 0.000)
Pm (0.500, 0.500, 0.273)
Ho (0.000, 0.000, 0.543)
Mg (0.500, 0.500, 0.769)



Entry 3:
First-principles (PBE) data for TbPm2HoMg after structural relaxation, as listed in Alexandria.

**ΔE_f**: 17 meV per atom
**Mass density**: 6.82 Mg/m³

Cell: 6.160 5.632 9.471 Å, 90.00 108.88 90.00°
Element x y z (fractional)
Tb (0.033, 0.250, 0.393)
Tb (0.967, 0.750, 0.607)
Pm (0.375, 0.750, 0.392)
Pm (0.452, 0.250, 0.201)
Pm (0.548, 0.750, 0.799)
Pm (0.625, 0.250, 0.608)
Ho (0.166, 0.750, 0.995)
Ho (0.834, 0.250, 0.005)
Mg (0.221, 0.250, 0.805)
Mg (0.779, 0.750, 0.195)



Entry 4:
First-principles (PBE) data for TbPmHoMg after structural relaxation, as listed in Alexandria.

**ΔE_f**: 35 meV per atom
**Distance to the lowest polymorph of the same formula**: 63 meV/atom
**Mass density**: 6.81 Mg/m³

Cell: 5.542 5.542 5.542 Å, 60.00 60.00 60.00°
Element x y z (fractional)
Tb (0.000, 0.000, 0.000)
Pm (0.500, 0.500, 0.500)
Ho (0.250, 0.250, 0.250)
Mg (0.750, 0.750, 0.750)



no.,calculated volume (Å³ per cell)
1,638.3
2,120.7
3,310.9
4,120.3